# 1
# La2PmSb2

An optimized crystal structure of La2PmSb2 (GGA-PBE, Alexandria).

Cell and atoms, written as CIF:
```
data_La2PmSb2
_chemical_formula_sum 'La8 Pm4 Sb8'
_cell_length_a 8.9073
_cell_length_b 12.1826
_cell_length_c 6.4674
_cell_angle_alpha 90.00
_cell_angle_beta 90.00
_cell_angle_gamma 90.00
_symmetry_space_group_name_H-M 'I b a m'
_symmetry_Int_Tables_number 72
_symmetry_space_group_name_Hall '-I 2 2c'
loop_
_atom_site_label
_atom_site_type_symbol
_atom_site_fract_x
_atom_site_fract_y
_atom_site_fract_z
La1 La 0.1406 0.1486 0.0000
Pm1 Pm 0.0000 0.5000 0.2500
Sb1 Sb 0.2226 0.1098 0.5000
```

Calculated values
DFT total energy ... -27.47 eV/f.u.
Magnetization ... 0.00 μB/f.u.
Formation energy from raw total energies ... -0.924 eV/atom

=====

# 2
# Sm3Mg2Pb3

An optimized crystal structure of Sm3Mg2Pb3 (GGA-PBE, Alexandria).

Cell and atoms, written as CIF:
```
data_Sm3Mg2Pb3
_chemical_formula_sum 'Sm6 Mg4 Pb6'
_cell_length_a 9.0934
_cell_length_b 9.0934
_cell_length_c 6.4778
_cell_angle_alpha 90.00
_cell_angle_beta 90.00
_cell_angle_gamma 120.00
_symmetry_space_group_name_H-M 'P 63/m c m'
_symmetry_Int_Tables_number 193
_symmetry_space_group_name_Hall '-P 6c 2'
loop_
_atom_site_label
_atom_site_type_symbol
_atom_site_fract_x
_atom_site_fract_y
_atom_site_fract_z
Sm1 Sm 0.0000 0.2585 0.2500
Mg1 Mg 0.3333 0.6667 0.0000
Pb1 Pb 0.0000 0.3892 0.7500
```

Calculated values
DFT total energy ... -31.42 eV/f.u.
Magnetization ... 0.00 μB/f.u.
Energy relative to the elements ... -36 kJ/mol of atoms

=====

# 3
# Pm2Th3Co2

An optimized crystal structure of Pm2Th3Co2 (GGA-PBE, Alexandria).

Cell and atoms, written as CIF:
```
data_Pm2Th3Co2
_chemical_formula_sum 'Pm4 Th6 Co4'
_cell_length_a 11.8519
_cell_length_b 3.7295
_cell_length_c 8.9092
_cell_angle_alpha 90.00
_cell_angle_beta 111.16
_cell_angle_gamma 90.00
_symmetry_space_group_name_H-M 'C 1 2/m 1'
_symmetry_Int_Tables_number 12
loop_
_symmetry_equiv_pos_as_xyz
'x,y,z'
'-x,-y,-z'
'-x,y,-z'
'x,-y,z'
'x+1/2,y+1/2,z'
'-x+1/2,-y+1/2,-z'
'-x+1/2,y+1/2,-z'
'x+1/2,-y+1/2,z'
loop_
_atom_site_label
_atom_site_type_symbol
_atom_site_fract_x
_atom_site_fract_y
_atom_site_fract_z
Pm1 Pm 0.1673 0.0000 0.2991
Th1 Th 0.0000 0.5000 0.5000
Th2 Th 0.1190 0.5000 0.9276
Co1 Co 0.1258 0.0000 0.7139
```

Calculated values
DFT total energy ... -47.32 eV/f.u.
Magnetization ... 0.00 μB/f.u.
Energy relative to the elements ... -19 kJ/mol of atoms

=====

# 4
# InC4

An optimized crystal structure of InC4 (GGA-PBE, Alexandria).

Cell and atoms, written as CIF:
```
data_InC4
_chemical_formula_sum 'In2 C8'
_cell_length_a 6.5466
_cell_length_b 2.6218
_cell_length_c 6.4145
_cell_angle_alpha 90.00
_cell_angle_beta 96.11
_cell_angle_gamma 90.00
_symmetry_space_group_name_H-M 'C 1 2/m 1'
_symmetry_Int_Tables_number 12
loop_
_symmetry_equiv_pos_as_xyz
'x,y,z'
'-x,-y,-z'
'-x,y,-z'
'x,-y,z'
'x+1/2,y+1/2,z'
'-x+1/2,-y+1/2,-z'
'-x+1/2,y+1/2,-z'
'x+1/2,-y+1/2,z'
loop_
_atom_site_label
_atom_site_type_symbol
_atom_site_fract_x
_atom_site_fract_y
_atom_site_fract_z
In1 In 0.0000 0.0000 0.0000
C1 C 0.2380 0.5000 0.2236
C2 C 0.2470 0.5000 0.4410
```

Calculated values
DFT total energy ... -33.65 eV/f.u.
Magnetization ... 0.00 μB/f.u.
Energy relative to the elements ... 115 kJ/mol of atoms
Offset from the most stable computed form ... 0.000 eV per atom

=====

# 5
# CdInW2

An optimized crystal structure of CdInW2 (GGA-PBE, Alexandria).

Cell and atoms, written as CIF:
```
data_CdInW2
_chemical_formula_sum 'Cd4 In4 W8'
_cell_length_a 7.5983
_cell_length_b 7.5983
_cell_length_c 5.5223
_cell_angle_alpha 90.00
_cell_angle_beta 90.00
_cell_angle_gamma 90.00
_symmetry_space_group_name_H-M 'I -4 2 d'
_symmetry_Int_Tables_number 122
_symmetry_space_group_name_Hall 'I -4 2bw'
loop_
_atom_site_label
_atom_site_type_symbol
_atom_site_fract_x
_atom_site_fract_y
_atom_site_fract_z
Cd1 Cd 0.0000 0.0000 0.0000
In1 In 0.0000 0.0000 0.5000
W1 W 0.2484 0.2500 0.6250
```

Calculated values
DFT total energy ... -24.10 eV/f.u.
Magnetization ... 0.00 μB/f.u.
Energy relative to the elements ... 132 kJ/mol of atoms
Offset from the most stable computed form ... 0.941 eV per atom

=====

# 6
# PrY2Ga

An optimized crystal structure of PrY2Ga (GGA-PBE, Alexandria).

Cell and atoms, written as CIF:
```
data_PrY2Ga
_chemical_formula_sum 'Pr1 Y2 Ga1'
_cell_length_a 3.5631
_cell_length_b 3.5631
_cell_length_c 9.0401
_cell_angle_alpha 90.00
_cell_angle_beta 90.00
_cell_angle_gamma 90.00
_symmetry_space_group_name_H-M 'P 4/m m m'
_symmetry_Int_Tables_number 123
_symmetry_space_group_name_Hall '-P 4 2'
loop_
_atom_site_label
_atom_site_type_symbol
_atom_site_fract_x
_atom_site_fract_y
_atom_site_fract_z
Pr1 Pr 0.0000 0.0000 0.0000
Y1 Y 0.5000 0.5000 0.2971
Ga1 Ga 0.0000 0.0000 0.5000
```

Calculated values
DFT total energy ... -21.93 eV/f.u.
Magnetization ... 0.00 μB/f.u.
Energy relative to the elements ... -29 kJ/mol of atoms
Offset from the most stable computed form ... 0.000 eV per atom

=====

# 7
# CdNi2As

An optimized crystal structure of CdNi2As (GGA-PBE, Alexandria).

Cell and atoms, written as CIF:
```
data_CdNi2As
_chemical_formula_sum 'Cd2 Ni4 As2'
_cell_length_a 6.0705
_cell_length_b 6.1080
_cell_length_c 3.1265
_cell_angle_alpha 90.00
_cell_angle_beta 90.00
_cell_angle_gamma 90.00
_symmetry_space_group_name_H-M 'C m m m'
_symmetry_Int_Tables_number 65
_symmetry_space_group_name_Hall '-C 2 2'
loop_
_atom_site_label
_atom_site_type_symbol
_atom_site_fract_x
_atom_site_fract_y
_atom_site_fract_z
Cd1 Cd 0.0000 0.0000 0.0000
Ni1 Ni 0.2500 0.2500 0.5000
As1 As 0.0000 0.5000 0.0000
```

Calculated values
DFT total energy ... -16.90 eV/f.u.
Magnetization ... 0.00 μB/f.u.
Energy relative to the elements ... 6 kJ/mol of atoms
Offset from the most stable computed form ... 0.112 eV per atom

=====

# 8
# HfTlI3

An optimized crystal structure of HfTlI3 (GGA-PBE, Alexandria).

Cell and atoms, written as CIF:
```
data_HfTlI3
_chemical_formula_sum 'Hf1 Tl1 I3'
_cell_length_a 5.7317
_cell_length_b 5.7317
_cell_length_c 5.7317
_cell_angle_alpha 90.00
_cell_angle_beta 90.00
_cell_angle_gamma 90.00
_symmetry_space_group_name_H-M 'P m -3 m'
_symmetry_Int_Tables_number 221
_symmetry_space_group_name_Hall '-P 4 2 3'
loop_
_atom_site_label
_atom_site_type_symbol
_atom_site_fract_x
_atom_site_fract_y
_atom_site_fract_z
Hf1 Hf 0.0000 0.0000 0.0000
Tl1 Tl 0.5000 0.5000 0.5000
I1 I 0.0000 0.0000 0.5000
```

Calculated values
DFT total energy ... -18.46 eV/f.u.
Magnetization ... 0.00 μB/f.u.
Offset from the most stable computed form ... 0.000 eV per atom
Formation energy from raw total energies ... -0.298 eV/atom